(P)
The following is a PBE-GGA calculation of a geometry-optimized CrTcAu2 structure, from Alexandria.

Values from the calculation:
The crystal system is monoclinic. Its density of states at the Fermi level is 0.53 states/eV per atom.

Lattice parameters (Å, degrees): 9.6840 3.0219 4.7239 90.00 111.16 90.00
Last column: nearest neighbours and their distance in Å.
Fractional positions:
Cr  0.0000  0.0000  0.0000  2 Tc 2.23
Cr  0.5000  0.5000  0.0000  2 Tc 2.23
Tc  0.1781  0.5000  0.2061  2 Cr 2.23
Tc  0.6781  0.0000  0.2061  2 Cr 2.23
Au  0.2389  0.0000  0.7565  3 Cr 2.81-2.93, 4 Tc 2.84-2.88, 5 Au 2.88-3.02
Au  0.4549  0.0000  0.4687  4 Cr 2.83-2.84, 3 Tc 2.85-2.93, 5 Au 2.88-3.02
Au  0.7389  0.5000  0.7565  3 Cr 2.81-2.93, 4 Tc 2.84-2.88, 5 Au 2.88-3.02
Au  0.9549  0.5000  0.4687  4 Cr 2.83-2.84, 3 Tc 2.85-2.93, 5 Au 2.88-3.02

(Q)
The following is a PBE-GGA calculation of a geometry-optimized CrTcAu2 structure, from Alexandria.

Values from the calculation:
The crystal system is orthorhombic. Its density of states at the Fermi level is 1.29 states/eV per atom.

Lattice parameters (Å, degrees): 5.4991 8.2502 2.8437 90.00 90.00 90.00
Last column: nearest neighbours and their distance in Å.
Fractional positions:
Cr  0.0000  0.0000  0.0000  2 Tc 2.75, 2 Cr 2.84, 8 Au 2.86
Cr  0.5000  0.5000  0.0000  2 Tc 2.75, 2 Cr 2.84, 8 Au 2.86
Tc  0.0000  0.5000  0.0000  2 Cr 2.75, 2 Tc 2.84, 8 Au 2.86
Tc  0.5000  0.0000  0.0000  2 Cr 2.75, 2 Tc 2.84, 8 Au 2.86
Au  0.2500  0.2500  0.5000  4 Au 2.75-2.84, 4 Cr 2.86, 4 Tc 2.86
Au  0.2500  0.7500  0.5000  4 Au 2.75-2.84, 4 Cr 2.86, 4 Tc 2.86
Au  0.7500  0.2500  0.5000  4 Au 2.75-2.84, 4 Cr 2.86, 4 Tc 2.86
Au  0.7500  0.7500  0.5000  4 Au 2.75-2.84, 4 Cr 2.86, 4 Tc 2.86

(R)
The following is a PBE-GGA calculation of a geometry-optimized CrTcAu2 structure, from Alexandria.

Values from the calculation:
The crystal system is orthorhombic. Its density of states at the Fermi level is 0.84 states/eV per atom.

Lattice parameters (Å, degrees): 2.9361 4.0704 5.4325 90.00 90.00 90.00
Last column: nearest neighbours and their distance in Å.
Fractional positions:
Cr  0.0000  0.0000  0.0000  2 Tc 2.72, 8 Au 2.85, 2 Cr 2.94
Tc  0.0000  0.0000  0.5000  2 Cr 2.72, 8 Au 2.85, 2 Tc 2.94
Au  0.5000  0.5000  0.2505  4 Au 2.71-2.94, 4 Tc 2.85, 4 Cr 2.85
Au  0.5000  0.5000  0.7495  4 Au 2.71-2.94, 4 Tc 2.85, 4 Cr 2.85

(S)
The following is a PBE-GGA calculation of a geometry-optimized CrTcAu2 structure, from Alexandria.

Values from the calculation:
The crystal system is cubic. Its density of states at the Fermi level is 1.82 states/eV per atom.

Lattice parameters (Å, degrees): 6.3169 6.3169 6.3169 90.00 90.00 90.00
Last column: nearest neighbours and their distance in Å.
Fractional positions:
Cr  0.0000  0.0000  0.0000  8 Au 2.74
Cr  0.0000  0.5000  0.5000  8 Au 2.74
Cr  0.5000  0.0000  0.5000  8 Au 2.74
Cr  0.5000  0.5000  0.0000  8 Au 2.74
Tc  0.0000  0.0000  0.5000  8 Au 2.74
Tc  0.0000  0.5000  0.0000  8 Au 2.74
Tc  0.5000  0.0000  0.0000  8 Au 2.74
Tc  0.5000  0.5000  0.5000  8 Au 2.74
Au  0.2500  0.2500  0.2500  4 Cr 2.74, 4 Tc 2.74
Au  0.2500  0.2500  0.7500  4 Cr 2.74, 4 Tc 2.74
Au  0.2500  0.7500  0.2500  4 Cr 2.74, 4 Tc 2.74
Au  0.2500  0.7500  0.7500  4 Tc 2.74, 4 Cr 2.74
Au  0.7500  0.2500  0.2500  4 Cr 2.74, 4 Tc 2.74
Au  0.7500  0.2500  0.7500  4 Tc 2.74, 4 Cr 2.74
Au  0.7500  0.7500  0.2500  4 Tc 2.74, 4 Cr 2.74
Au  0.7500  0.7500  0.7500  4 Cr 2.74, 4 Tc 2.74

The energy of each structure relative to the most stable one, in meV/atom, is as follows: (P) 0; (Q) 89; (R) 80; (S) 389.

(P)
The following is a PBE-GGA calculation of a geometry-optimized CrTcAu2 structure, from Alexandria.

Values from the calculation:
The crystal system is trigonal. Its density of states at the Fermi level is 1.48 states/eV per atom.

Lattice parameters (Å, degrees): 2.8758 2.8758 27.3564 90.00 90.00 120.00
Last column: nearest neighbours and their distance in Å.
Fractional positions:
Cr  0.0000  0.0000  0.0000  6 Au 2.79, 6 Cr 2.88
Cr  0.3333  0.6667  0.6667  6 Au 2.79, 6 Cr 2.88
Cr  0.6667  0.3333  0.3333  6 Au 2.79, 6 Cr 2.88
Tc  0.0000  0.0000  0.5000  6 Au 2.85, 6 Tc 2.88
Tc  0.3333  0.6667  0.1667  6 Au 2.85, 6 Tc 2.88
Tc  0.6667  0.3333  0.8333  6 Au 2.85, 6 Tc 2.88
Au  0.0000  0.0000  0.2512  3 Cr 2.79, 3 Tc 2.85, 6 Au 2.88
Au  0.0000  0.0000  0.7488  3 Cr 2.79, 3 Tc 2.85, 6 Au 2.88
Au  0.3333  0.6667  0.4155  3 Cr 2.79, 3 Tc 2.85, 6 Au 2.88
Au  0.3333  0.6667  0.9179  3 Cr 2.79, 3 Tc 2.85, 6 Au 2.88
Au  0.6667  0.3333  0.0821  3 Cr 2.79, 3 Tc 2.85, 6 Au 2.88
Au  0.6667  0.3333  0.5845  3 Cr 2.79, 3 Tc 2.85, 6 Au 2.88

(Q)
The following is a PBE-GGA calculation of a geometry-optimized CrTcAu2 structure, from Alexandria.

Values from the calculation:
The crystal system is tetragonal. Its density of states at the Fermi level is 0.50 states/eV per atom.

Lattice parameters (Å, degrees): 3.8824 3.8824 8.5628 90.00 90.00 90.00
Last column: nearest neighbours and their distance in Å.
Fractional positions:
Cr  0.0000  0.0000  0.0000  4 Tc 2.75, 8 Au 2.89
Cr  0.5000  0.5000  0.5000  4 Tc 2.75, 8 Au 2.89
Tc  0.0000  0.0000  0.5000  4 Cr 2.75, 8 Au 2.89
Tc  0.5000  0.5000  0.0000  4 Cr 2.75, 8 Au 2.89
Au  0.0000  0.5000  0.2500  4 Au 2.75, 4 Cr 2.89, 4 Tc 2.89
Au  0.0000  0.5000  0.7500  4 Au 2.75, 4 Cr 2.89, 4 Tc 2.89
Au  0.5000  0.0000  0.2500  4 Au 2.75, 4 Cr 2.89, 4 Tc 2.89
Au  0.5000  0.0000  0.7500  4 Au 2.75, 4 Cr 2.89, 4 Tc 2.89

(R)
The following is a PBE-GGA calculation of a geometry-optimized CrTcAu2 structure, from Alexandria.

Values from the calculation:
The crystal system is monoclinic. Its density of states at the Fermi level is 0.81 states/eV per atom.

Lattice parameters (Å, degrees): 9.5627 2.8980 4.7671 90.00 100.57 90.00
Last column: nearest neighbours and their distance in Å.
Fractional positions:
Cr  0.0000  0.0000  0.0000  4 Tc 2.79, 6 Au 2.85-2.88, 2 Cr 2.90
Cr  0.5000  0.5000  0.0000  4 Tc 2.79, 6 Au 2.85-2.88, 2 Cr 2.90
Tc  0.0000  0.5000  0.5000  4 Cr 2.79, 6 Au 2.85-2.87, 2 Tc 2.90
Tc  0.5000  0.0000  0.5000  4 Cr 2.79, 6 Au 2.85-2.87, 2 Tc 2.90
Au  0.2483  0.0000  0.7487  6 Au 2.78-2.90, 3 Tc 2.85-2.87, 3 Cr 2.85-2.88
Au  0.2517  0.5000  0.2513  6 Au 2.78-2.90, 3 Tc 2.85-2.87, 3 Cr 2.85-2.88
Au  0.7483  0.5000  0.7487  6 Au 2.78-2.90, 3 Tc 2.85-2.87, 3 Cr 2.85-2.88
Au  0.7517  0.0000  0.2513  6 Au 2.78-2.90, 3 Tc 2.85-2.87, 3 Cr 2.85-2.88

The energy of each structure relative to the most stable one, in meV/atom, is as follows: (P) 165; (Q) 0; (R) 75.

(P)
The following is a PBE-GGA calculation of a geometry-optimized CrTc2Au structure, from Alexandria.

Values from the calculation:
The crystal system is tetragonal. Its density of states at the Fermi level is 1.11 states/eV per atom.

Lattice parameters (Å, degrees): 2.7242 2.7242 7.9605 90.00 90.00 90.00
Last column: nearest neighbours and their distance in Å.
Fractional positions:
Cr  0.0000  0.0000  0.0000  4 Tc 2.64, 4 Cr 2.72, 4 Au 2.81
Tc  0.0000  0.0000  0.4613  8 Tc 2.69-2.72, 4 Au 2.95
Tc  0.5000  0.5000  0.2261  4 Cr 2.64, 8 Tc 2.69-2.72
Au  0.5000  0.5000  0.7423  4 Au 2.72, 4 Cr 2.81, 4 Tc 2.95

(Q)
The following is a PBE-GGA calculation of a geometry-optimized CrTc2Au structure, from Alexandria.

Values from the calculation:
The crystal system is tetragonal. Its density of states at the Fermi level is 1.00 states/eV per atom.

Lattice parameters (Å, degrees): 2.7302 2.7302 7.8789 90.00 90.00 90.00
Last column: nearest neighbours and their distance in Å.
Fractional positions:
Cr  0.0000  0.0000  0.0000  8 Tc 2.58, 4 Cr 2.73
Tc  0.5000  0.5000  0.2168  4 Cr 2.58, 4 Tc 2.73
Tc  0.5000  0.5000  0.7832  4 Cr 2.58, 4 Tc 2.73
Au  0.0000  0.0000  0.5000  4 Au 2.73, 8 Tc 2.95

The energy of each structure relative to the most stable one, in meV/atom, is as follows: (P) 32; (Q) 0.